Record 1
Sc2CrRe after structural relaxation. Source: Alexandria via LeMat-Bulk, functional GGA-PBE.

- calculated formation energy (eV/f.u.) = 1.2
- uncorrected energy (eV per atom) = -8.394

Cell: 3.2792 4.6197 8.8715 Å, 90.00 90.00 90.00°
Space group Cmmm (No. 65)
Symmetry-distinct sites (fractional):
1 Sc 0.0000 0.0000 0.2453 [4 per cell]
2 Cr 0.0000 0.5000 0.0000 [2 per cell]
3 Re 0.0000 0.5000 0.5000 [2 per cell]

---

Record 2
Ce8PuTe2 after structural relaxation. Source: Alexandria via LeMat-Bulk, functional GGA-PBE.

- uncorrected energy (eV per atom) = -6.585
- formation energy (no corrections) (kJ per mole of atoms) = -38.1

Cell: 8.2786 13.7185 6.0151 Å, 90.00 116.96 90.00°
Space group C2/m (No. 12)
Symmetry-distinct sites (fractional):
1 Ce 0.0000 0.1882 0.0000 [4 per cell]
2 Ce 0.1559 0.5000 0.8274 [4 per cell]
3 Ce 0.1937 0.0944 0.6124 [8 per cell]
4 Pu 0.0000 0.0000 0.0000 [2 per cell]
5 Te 0.0000 0.3022 0.5000 [4 per cell]

---

Number 1: density of states at the Fermi level 3.94 states/eV/f.u.. Number 2: density of states at the Fermi level 26.97 states/eV/f.u..